Entry 1:
# Er6SiGe2Te3 (PBE-GGA, optimized geometry)
# * raw formation energy: -1128 meV per atom
# * total magnetic moment: 0.000 μB per atom
data_Er6SiGe2Te3
_cell_length_a 18.5667
_cell_length_b 4.2029
_cell_length_c 8.5417
_cell_angle_alpha 90.00
_cell_angle_beta 104.69
_cell_angle_gamma 90.00
_symmetry_space_group_name_H-M 'C 1 2/m 1'
_symmetry_Int_Tables_number 12
_symmetry_space_group_name_Hall '-C 2y'
loop_
_atom_site_label
_atom_site_type_symbol
_atom_site_fract_x
_atom_site_fract_y
_atom_site_fract_z
Er1 Er 0.0066 0.0000 0.2309
Er2 Er 0.1589 0.5000 0.0999
Er3 Er 0.1735 0.5000 0.5657
Si1 Si 0.0000 0.5000 0.0000
Ge1 Ge 0.1666 0.0000 0.3330
Te1 Te 0.0000 0.5000 0.5000
Te2 Te 0.1669 0.0000 0.8333

Entry 2:
# Er8Si3GeTe4 (PBE-GGA, optimized geometry)
# * raw formation energy: -1091 meV per atom
# * total magnetic moment: 0.000 μB per atom
data_Er8Si3GeTe4
_cell_length_a 8.3856
_cell_length_b 8.3856
_cell_length_c 21.1094
_cell_angle_alpha 90.00
_cell_angle_beta 90.00
_cell_angle_gamma 120.00
_symmetry_space_group_name_H-M 'R -3 m'
_symmetry_Int_Tables_number 166
_symmetry_space_group_name_Hall '-R 3 2"'
loop_
_atom_site_label
_atom_site_type_symbol
_atom_site_fract_x
_atom_site_fract_y
_atom_site_fract_z
Er1 Er 0.0000 0.0000 0.2391
Er2 Er 0.0010 0.5005 0.7608
Si1 Si 0.0000 0.5000 0.5000
Ge1 Ge 0.0000 0.0000 0.5000
Te1 Te 0.0000 0.0000 0.0000
Te2 Te 0.0000 0.5000 0.0000

Entry 3:
# ErTmSiGe (PBE-GGA, optimized geometry)
# * raw formation energy: -824 meV per atom
# * total magnetic moment: 0.000 μB per atom
data_ErTmSiGe
_cell_length_a 3.8654
_cell_length_b 4.2243
_cell_length_c 10.5030
_cell_angle_alpha 90.00
_cell_angle_beta 90.00
_cell_angle_gamma 90.00
_symmetry_space_group_name_H-M 'A m m 2'
_symmetry_Int_Tables_number 38
_symmetry_space_group_name_Hall 'A 2 -2'
loop_
_atom_site_label
_atom_site_type_symbol
_atom_site_fract_x
_atom_site_fract_y
_atom_site_fract_z
Er1 Er 0.0000 0.0000 0.0000
Tm1 Tm 0.5000 0.0000 0.7214
Si1 Si 0.0000 0.0000 0.2771
Ge1 Ge 0.5000 0.0000 0.4417

Entry 4:
# YErSiGe (PBE-GGA, optimized geometry)
# * raw formation energy: -845 meV per atom
# * total magnetic moment: 0.000 μB per atom
data_YErSiGe
_cell_length_a 3.8919
_cell_length_b 4.2636
_cell_length_c 10.5909
_cell_angle_alpha 90.00
_cell_angle_beta 90.00
_cell_angle_gamma 90.00
_symmetry_space_group_name_H-M 'A m m 2'
_symmetry_Int_Tables_number 38
_symmetry_space_group_name_Hall 'A 2 -2'
loop_
_atom_site_label
_atom_site_type_symbol
_atom_site_fract_x
_atom_site_fract_y
_atom_site_fract_z
Y1 Y 0.0000 0.0000 0.0000
Er1 Er 0.5000 0.0000 0.7212
Si1 Si 0.0000 0.0000 0.2775
Ge1 Ge 0.5000 0.0000 0.4401

Entry 5:
# SmErGe (PBE-GGA, optimized geometry)
# * total magnetic moment: 0.006 μB per atom
# * calculated formation energy: -394 meV per atom
data_SmErGe
_cell_length_a 3.8942
_cell_length_b 3.8942
_cell_length_c 9.8346
_cell_angle_alpha 90.00
_cell_angle_beta 90.00
_cell_angle_gamma 90.00
_symmetry_space_group_name_H-M 'I 4 m m'
_symmetry_Int_Tables_number 107
_symmetry_space_group_name_Hall 'I 4 -2'
loop_
_atom_site_label
_atom_site_type_symbol
_atom_site_fract_x
_atom_site_fract_y
_atom_site_fract_z
Sm1 Sm 0.0000 0.0000 0.0000
Er1 Er 0.0000 0.0000 0.2988
Ge1 Ge 0.0000 0.0000 0.6625

Entry 6:
# SmEr4Ge4 (PBE-GGA, optimized geometry)
# * total magnetic moment: 0.000 μB per atom
# * calculated formation energy: -574 meV per atom
data_SmEr4Ge4
_cell_length_a 9.2089
_cell_length_b 9.2089
_cell_length_c 5.7504
_cell_angle_alpha 90.00
_cell_angle_beta 90.00
_cell_angle_gamma 90.00
_symmetry_space_group_name_H-M 'P 42/n'
_symmetry_Int_Tables_number 86
loop_
_symmetry_equiv_pos_as_xyz
'x,y,z'
'-x,-y,-z'
'-y,x+1/2,z+1/2'
'y,-x+1/2,-z+1/2'
'-x+1/2,-y+1/2,z'
'x+1/2,y+1/2,-z'
'y+1/2,-x,z+1/2'
'-y+1/2,x,-z+1/2'
loop_
_atom_site_label
_atom_site_type_symbol
_atom_site_fract_x
_atom_site_fract_y
_atom_site_fract_z
Sm1 Sm 0.2500 0.2500 0.2500
Er1 Er 0.0900 0.6478 0.1388
Ge1 Ge 0.0371 0.6100 0.6440

Entry 7:
# SmErGe (PBE-GGA, optimized geometry)
# * total magnetic moment: 0.000 μB per atom
# * calculated formation energy: -527 meV per atom
data_SmErGe
_cell_length_a 6.9524
_cell_length_b 6.9524
_cell_length_c 6.9524
_cell_angle_alpha 90.00
_cell_angle_beta 90.00
_cell_angle_gamma 90.00
_symmetry_space_group_name_H-M 'F -4 3 m'
_symmetry_Int_Tables_number 216
_symmetry_space_group_name_Hall 'F -4 2 3'
loop_
_atom_site_label
_atom_site_type_symbol
_atom_site_fract_x
_atom_site_fract_y
_atom_site_fract_z
Sm1 Sm 0.0000 0.0000 0.0000
Er1 Er 0.0000 0.0000 0.5000
Ge1 Ge 0.2500 0.2500 0.2500

Entry 8:
# SmErGe (PBE-GGA, optimized geometry)
# * total magnetic moment: 0.000 μB per atom
# * calculated formation energy: -404 meV per atom
data_SmErGe
_cell_length_a 4.7288
_cell_length_b 4.7288
_cell_length_c 4.2336
_cell_angle_alpha 90.00
_cell_angle_beta 90.00
_cell_angle_gamma 120.00
_symmetry_space_group_name_H-M 'P 3 m 1'
_symmetry_Int_Tables_number 156
_symmetry_space_group_name_Hall 'P 3 -2"'
loop_
_atom_site_label
_atom_site_type_symbol
_atom_site_fract_x
_atom_site_fract_y
_atom_site_fract_z
Sm1 Sm 0.0000 0.0000 0.0000
Er1 Er 0.6667 0.3333 0.5210
Ge1 Ge 0.3333 0.6667 0.3776

Entry 9:
# Sm5Er2Ge4 (PBE-GGA, optimized geometry)
# * total magnetic moment: 0.000 μB per atom
# * calculated formation energy: -279 meV per atom
data_Sm5Er2Ge4
_cell_length_a 21.3048
_cell_length_b 3.8071
_cell_length_c 8.1761
_cell_angle_alpha 90.00
_cell_angle_beta 95.99
_cell_angle_gamma 90.00
_symmetry_space_group_name_H-M 'C 1 2/m 1'
_symmetry_Int_Tables_number 12
_symmetry_space_group_name_Hall '-C 2y'
loop_
_atom_site_label
_atom_site_type_symbol
_atom_site_fract_x
_atom_site_fract_y
_atom_site_fract_z
Sm1 Sm 0.0000 0.0000 0.0000
Sm2 Sm 0.1010 0.5000 0.4280
Sm3 Sm 0.1619 0.5000 0.9729
Er1 Er 0.2335 0.0000 0.6636
Ge1 Ge 0.0273 0.5000 0.7333
Ge2 Ge 0.1045 0.0000 0.7161

Entry 10:
# Sm3ErGe2 (PBE-GGA, optimized geometry)
# * total magnetic moment: 0.000 μB per atom
# * calculated formation energy: -625 meV per atom
data_Sm3ErGe2
_cell_length_a 16.8462
_cell_length_b 4.4945
_cell_length_c 4.4151
_cell_angle_alpha 90.00
_cell_angle_beta 105.14
_cell_angle_gamma 90.00
_symmetry_space_group_name_H-M 'C 1 2/m 1'
_symmetry_Int_Tables_number 12
_symmetry_space_group_name_Hall '-C 2y'
loop_
_atom_site_label
_atom_site_type_symbol
_atom_site_fract_x
_atom_site_fract_y
_atom_site_fract_z
Sm1 Sm 0.0000 0.0000 0.0000
Sm2 Sm 0.1806 0.0000 0.6803
Er1 Er 0.0000 0.5000 0.5000
Ge1 Ge 0.1336 0.5000 0.1328

Entry 11:
# SmEr2Ge (PBE-GGA, optimized geometry)
# * total magnetic moment: 0.000 μB per atom
# * calculated formation energy: 146 meV per atom
data_SmEr2Ge
_cell_length_a 3.4677
_cell_length_b 3.4677
_cell_length_c 34.4748
_cell_angle_alpha 90.00
_cell_angle_beta 90.00
_cell_angle_gamma 120.00
_symmetry_space_group_name_H-M 'R -3 m'
_symmetry_Int_Tables_number 166
_symmetry_space_group_name_Hall '-R 3 2"'
loop_
_atom_site_label
_atom_site_type_symbol
_atom_site_fract_x
_atom_site_fract_y
_atom_site_fract_z
Sm1 Sm 0.0000 0.0000 0.0000
Er1 Er 0.0000 0.0000 0.4168
Ge1 Ge 0.0000 0.0000 0.5000

Entry 12:
# Sm3Er3Ge4 (PBE-GGA, optimized geometry)
# * total magnetic moment: 0.000 μB per atom
# * calculated formation energy: -787 meV per atom
data_Sm3Er3Ge4
_cell_length_a 4.3135
_cell_length_b 10.7539
_cell_length_c 10.7519
_cell_angle_alpha 90.00
_cell_angle_beta 90.00
_cell_angle_gamma 90.00
_symmetry_space_group_name_H-M 'A m m 2'
_symmetry_Int_Tables_number 38
_symmetry_space_group_name_Hall 'A 2 -2'
loop_
_atom_site_label
_atom_site_type_symbol
_atom_site_fract_x
_atom_site_fract_y
_atom_site_fract_z
Sm1 Sm 0.0000 0.0000 0.0000
Sm2 Sm 0.0000 0.1743 0.3288
Er1 Er 0.0000 0.0000 0.6539
Er2 Er 0.5000 0.2496 0.0776
Ge1 Ge 0.5000 0.0000 0.2044
Ge2 Ge 0.5000 0.0000 0.4567
Ge3 Ge 0.5000 0.1225 0.8245

What are the D(E_F) values for these records? In order: 0.17; 0.15; 0.64; 0.65; 1.34; 0.88; 0.87; 0.58; 1.09; 1.05; 1.03; 0.84 states/eV/atom.